# TiIn2Au2 PBE relaxed
# uncorrected energy: -3.944 eV/atom
# space-group type: No. 127
# formation energy: 0.042 eV per atom
# distance to the lowest polymorph of the same formula: 0.45 eV/f.u.
data_TiIn2Au2
_cell_length_a 7.8715
_cell_length_b 7.8715
_cell_length_c 3.3277
_cell_angle_alpha 90.00
_cell_angle_beta 90.00
_cell_angle_gamma 90.00
_symmetry_space_group_name_H-M 'P 1'
_symmetry_Int_Tables_number 1
loop_
_symmetry_equiv_pos_as_xyz
'x,y,z'
loop_
_atom_site_label
_atom_site_type_symbol
_atom_site_fract_x
_atom_site_fract_y
_atom_site_fract_z
Ti1 Ti 0.0000 0.0000 0.0000
Ti2 Ti 0.5000 0.5000 0.0000
In1 In 0.1385 0.3615 0.0000
In2 In 0.3615 0.8615 0.0000
In3 In 0.6385 0.1385 0.0000
In4 In 0.8615 0.6385 0.0000
Au1 Au 0.1635 0.6635 0.5000
Au2 Au 0.3365 0.1635 0.5000
Au3 Au 0.6635 0.8365 0.5000
Au4 Au 0.8365 0.3365 0.5000

***

# KSrRu2 PBE relaxed
# uncorrected energy: -4.668 eV/atom
# space-group type: No. 44
# formation energy: 0.664 eV per atom
# distance to the lowest polymorph of the same formula: 1.05 eV/f.u.
data_KSrRu2
_cell_length_a 5.8777
_cell_length_b 5.8777
_cell_length_c 5.8777
_cell_angle_alpha 139.08
_cell_angle_beta 124.27
_cell_angle_gamma 71.41
_symmetry_space_group_name_H-M 'P 1'
_symmetry_Int_Tables_number 1
loop_
_symmetry_equiv_pos_as_xyz
'x,y,z'
loop_
_atom_site_label
_atom_site_type_symbol
_atom_site_fract_x
_atom_site_fract_y
_atom_site_fract_z
K1 K 0.0000 0.0000 0.0000
Sr1 Sr 0.3008 0.8008 0.5000
Ru1 Ru 0.5997 0.5997 0.0000
Ru2 Ru 0.7134 0.2134 0.5000

***

# La2Sn2Pb PBE relaxed
# uncorrected energy: -4.480 eV/atom
# space-group type: No. 139
# formation energy: -0.166 eV per atom
data_La2Sn2Pb
_cell_length_a 7.6029
_cell_length_b 7.6029
_cell_length_c 7.6029
_cell_angle_alpha 140.46
_cell_angle_beta 140.46
_cell_angle_gamma 57.15
_symmetry_space_group_name_H-M 'P 1'
_symmetry_Int_Tables_number 1
loop_
_symmetry_equiv_pos_as_xyz
'x,y,z'
loop_
_atom_site_label
_atom_site_type_symbol
_atom_site_fract_x
_atom_site_fract_y
_atom_site_fract_z
La1 La 0.2500 0.7500 0.5000
La2 La 0.7500 0.2500 0.5000
Sn1 Sn 0.1041 0.1041 0.0000
Sn2 Sn 0.8959 0.8959 0.0000
Pb1 Pb 0.5000 0.5000 0.0000